An optimized crystal structure of Pm5Dy2Sb4, computed with GGA-PBE.

Lattice parameters (Å, degrees): 4.068 7.202 13.100 89.33 98.93 90.00
Fractional positions:
1 Pm 0.142 0.817 0.284
2 Pm 0.858 0.183 0.716
3 Pm 0.233 0.241 0.466
4 Pm 0.500 0.000 0.000
5 Pm 0.767 0.759 0.534
6 Dy 0.909 0.684 0.818
7 Dy 0.091 0.316 0.182
8 Sb 0.669 0.493 0.339
9 Sb 0.030 0.690 0.059
10 Sb 0.331 0.507 0.661
11 Sb 0.970 0.310 0.941

Its uncorrected formation energy is -0.482 eV per atom.